No. 1
## LiAl2Ir2 (PBE)

Data for crystalline LiAl2Ir2 at its relaxed geometry.

Properties
* magnetic moment: 0.00 μB/f.u.
* ΔE_f: -3.6 eV per formula unit
* symmetry: No. 127

a b c (Å): 7.205 7.205 2.871
angles (deg): 90.00 90.00 90.00
Element x y z (fractional)
1 Ir 0.344 0.156 0.500
2 Ir 0.656 0.844 0.500
3 Ir 0.844 0.344 0.500
4 Ir 0.156 0.656 0.500
5 Li 0.500 0.500 0.000
6 Li 0.000 0.000 0.000
7 Al 0.860 0.640 0.000
8 Al 0.360 0.860 0.000
9 Al 0.640 0.140 0.000
10 Al 0.140 0.360 0.000


No. 2
## LiAlIr2 (PBE)

Data for crystalline LiAlIr2 at its relaxed geometry.

Properties
* magnetic moment: 0.00 μB/f.u.
* ΔE_f: -0.1 eV per formula unit
* symmetry: No. 35

a b c (Å): 2.724 2.724 9.050
angles (deg): 90.00 90.00 118.50
Element x y z (fractional)
1 Li 0.000 0.000 0.496
2 Ir 0.500 0.500 0.254
3 Ir 0.000 0.000 0.991
4 Al 0.500 0.500 0.760


No. 3
## LiAlIr2 (PBE)

Data for crystalline LiAlIr2 at its relaxed geometry.

Properties
* magnetic moment: 0.00 μB/f.u.
* ΔE_f: 0.4 eV per formula unit
* symmetry: No. 122

a b c (Å): 6.863 6.863 5.498
angles (deg): 51.39 51.39 90.00
Element x y z (fractional)
1 Al 0.750 0.250 0.500
2 Al 0.000 0.000 0.000
3 Ir 0.640 0.125 0.250
4 Ir 0.875 0.890 0.750
5 Ir 0.375 0.360 0.750
6 Ir 0.110 0.625 0.250
7 Li 0.250 0.750 0.500
8 Li 0.500 0.500 0.000


No. 4
## Li2Al3Ir (PBE)

Data for crystalline Li2Al3Ir at its relaxed geometry.

Properties
* magnetic moment: 0.00 μB/f.u.
* ΔE_f: -2.8 eV per formula unit
* symmetry: No. 65

a b c (Å): 6.934 6.934 5.977
angles (deg): 90.00 90.00 143.42
Element x y z (fractional)
1 Ir 0.337 0.663 0.000
2 Ir 0.663 0.337 0.000
3 Al 0.830 0.170 0.757
4 Al 0.170 0.830 0.757
5 Al 0.170 0.830 0.243
6 Al 0.830 0.170 0.243
7 Al 0.500 0.500 0.762
8 Al 0.500 0.500 0.238
9 Li 0.340 0.660 0.500
10 Li 0.660 0.340 0.500
11 Li 0.000 0.000 0.000
12 Li 0.000 0.000 0.500


No. 5
## LiAlIr2 (PBE)

Data for crystalline LiAlIr2 at its relaxed geometry.

Properties
* magnetic moment: 0.00 μB/f.u.
* ΔE_f: -1.7 eV per formula unit
* symmetry: No. 71

a b c (Å): 4.982 4.982 4.982
angles (deg): 146.18 124.72 66.40
Element x y z (fractional)
1 Ir 0.012 0.012 0.000
2 Ir 0.488 0.488 0.000
3 Li 0.750 0.250 0.500
4 Al 0.250 0.750 0.500


No. 6
## LiAlIr2 (PBE)

Data for crystalline LiAlIr2 at its relaxed geometry.

Properties
* magnetic moment: 0.00 μB/f.u.
* ΔE_f: -1.9 eV per formula unit
* symmetry: No. 123

a b c (Å): 2.985 2.985 5.843
angles (deg): 90.00 90.00 90.00
Element x y z (fractional)
1 Al 0.500 0.500 0.750
2 Ir 0.000 0.000 0.006
3 Ir 0.000 0.000 0.494
4 Li 0.500 0.500 0.250